a:
## Cr2Se (PBE)

Data for crystalline Cr2Se at its relaxed geometry.

Cell lengths 4.714, 4.714, 6.209 Å; angles 77.07, 77.07, 40.66 degrees
Site moments in Bohr magnetons follow the coordinates.
Sites, in units of the cell vectors:
Cr: 0.949 0.949 0.020  2.74
Cr: 0.619 0.619 0.267  1.55
Cr: 0.320 0.320 0.357  -2.05
Se: 0.240 0.240 0.971  -0.05
Cr: 0.704 0.704 0.658  2.25
Se: 0.002 0.002 0.561  -0.05

***

b:
## Cr2Se (PBE)

Data for crystalline Cr2Se at its relaxed geometry.

Cell lengths 4.377, 4.377, 4.351 Å; angles 90.00, 90.00, 109.02 degrees
Sites, in units of the cell vectors:
Cr: 0.502 0.169 0.750
Se: 0.219 0.219 0.250
Cr: 0.498 0.831 0.250
Se: 0.781 0.781 0.750
Cr: 0.169 0.502 0.750
Cr: 0.831 0.498 0.250

***

The most stable arrangement is a, and the next structure is 0.006 eV/atom less stable.

***

a:
## Cr2Se (PBE)

Data for crystalline Cr2Se at its relaxed geometry.

Cell lengths 3.829, 3.829, 6.624 Å; angles 90.00, 90.00, 120.00 degrees
Sites, in units of the cell vectors:
Cr: 0.333 0.667 0.951
Se: 0.000 0.000 0.750
Cr: 0.667 0.333 0.049
Se: 0.000 0.000 0.250
Cr: 0.667 0.333 0.451
Cr: 0.333 0.667 0.549

***

b:
## Cr2Se (PBE)

Data for crystalline Cr2Se at its relaxed geometry.

Cell lengths 4.282, 4.282, 5.138 Å; angles 90.00, 90.00, 120.00 degrees
Site moments in Bohr magnetons follow the coordinates.
Sites, in units of the cell vectors:
Se: 0.333 0.667 0.250  -0.02
Cr: 0.667 0.333 0.250  1.81
Cr: 0.333 0.667 0.750  1.81
Cr: 0.000 0.000 0.500  1.62
Se: 0.667 0.333 0.750  -0.02
Cr: 0.000 0.000 0.000  1.62

***

c:
## Cr2Se (PBE)

Data for crystalline Cr2Se at its relaxed geometry.

Cell lengths 4.895, 4.895, 4.895 Å; angles 60.00, 60.00, 60.00 degrees
Sites, in units of the cell vectors:
Se: 0.750 0.750 0.750
Cr: 0.125 0.125 0.125
Cr: 0.625 0.125 0.125
Cr: 0.125 0.125 0.625
Se: 0.500 0.500 0.500
Cr: 0.125 0.625 0.125

***

The most stable arrangement is b, and the next structure is 0.101 eV/atom less stable.